Material: AcHoTmTh
Method: DFT, GGA-PBE
State: relaxed

Geometry as POSCAR:
```
AcHoTmTh
1.0
0.000 4.089 4.089
4.089 0.000 4.089
4.089 4.089 0.000
Ac Ho Tm Th
1 1 1 1
Direct
0.000 0.000 0.000 Ac
0.750 0.750 0.750 Ho
0.250 0.250 0.250 Tm
0.500 0.500 0.500 Th
```

Properties
**Raw total energy**: -5.015 eV/atom
**Formation energy from the elements**: 0.129 eV per atom
**Theoretical density**: 9629 kg/m3